This record from Alexandria via LeMat-Bulk describes crystalline MgVIF2 at its relaxed geometry. The functional is PBE+U.

extended XYZ file:
```
5
Lattice="3.981 0.000 0.000 0.000 3.981 0.000 0.000 0.000 6.553" Properties=species:S:1:pos:R:3 pbc="T T T"
Mg 0.000 0.000 0.000
V 1.990 1.990 3.276
I 0.000 0.000 3.276
F 0.000 1.990 0.000
F 1.990 0.000 0.000
```

## Properties
E_tot	-22.61	eV/cell